(1)
Crystalline InMoIr3 at its relaxed geometry, computed with GGA-PBE.

Structure (POSCAR):
```
InMoIr3
1.0
4.7496 0.0000 0.0000
0.0000 4.7496 0.0000
0.0000 0.0000 4.7496
In Mo Ir
1 1 3
direct
0.0000 0.0000 0.0000
0.5000 0.5000 0.5000
0.0000 0.0000 0.5000
0.0000 0.5000 0.0000
0.5000 0.0000 0.0000
```

Final energy ... -5.625 eV per atom
Spin magnetization ... 0.093 μB per atom
D(E_F) ... 9.82 states/eV/cell
Energy of formation from the pure elements ... 2405.3 meV per atom
Space-group type ... Pm-3m (221)

---

(2)
Crystalline K2BaMo at its relaxed geometry, computed with GGA-PBE.

Structure (POSCAR):
```
K2BaMo
1.0
5.2672 0.0000 0.0000
0.0000 5.2845 0.0000
0.0000 0.0000 6.6769
K Ba Mo
2 1 1
direct
0.0000 0.0000 0.0000
0.5000 0.5000 0.0000
0.0000 0.5000 0.5000
0.5000 0.0000 0.5000
```

Final energy ... -2.657 eV per atom
Spin magnetization ... 1.067 μB per atom
D(E_F) ... 2.69 states/eV/cell
Energy of formation from the pure elements ... 1080.5 meV per atom
Space-group type ... Pmmm (47)